# BaZrFe, relaxed, DFT PBE
# - DFT formation energy (eV per formula unit) = 2.63
# - magnetization (μB per atom) = 0.075
data_BaZrFe
_space_group_name_H-M_alt 'F -4 3 m'
_space_group_IT_number 216
_space_group_name_Hall 'F -4 2 3'
_cell_length_a 6.878
_cell_length_b 6.878
_cell_length_c 6.878
_cell_angle_alpha 90.00
_cell_angle_beta 90.00
_cell_angle_gamma 90.00
loop_
_atom_site_label
_atom_site_type_symbol
_atom_site_fract_x
_atom_site_fract_y
_atom_site_fract_z
Ba1 Ba 0.000 0.000 0.000
Zr1 Zr 0.000 0.000 0.500
Fe1 Fe 0.250 0.250 0.250

# ScInBr2, relaxed, DFT PBE
# - magnetization (μB per atom) = 0.041
# - energy relative to the elements, uncorrected (eV/atom) = -0.90
data_ScInBr2
_space_group_name_H-M_alt 'C 1 m 1'
_space_group_IT_number 8
_cell_length_a 12.173
_cell_length_b 3.545
_cell_length_c 6.786
_cell_angle_alpha 90.00
_cell_angle_beta 119.71
_cell_angle_gamma 90.00
loop_
_space_group_symop_operation_xyz
'x,y,z'
'x,-y,z'
'x+1/2,y+1/2,z'
'x+1/2,-y+1/2,z'
loop_
_atom_site_label
_atom_site_type_symbol
_atom_site_fract_x
_atom_site_fract_y
_atom_site_fract_z
Sc1 Sc 0.000 0.000 0.000
In1 In 0.268 0.000 0.008
Br1 Br 0.115 0.500 0.335
Br2 Br 0.444 0.000 0.669

Result set for E above lowest polymorph: 0.452, 0.082 eV/atom, one per record in the order listed.